YIN2 GGA-PBE optimized geometry; DOS(E_F) = 4.5 states/eV/cell; relative energy among the computed polymorphs = 1.851 eV/f.u.; space group = I-42d; spin magnetization = 0.000 μB per atom
1.0
-2.4835 2.4835 6.2521
2.4835 -2.4835 6.2521
2.4835 2.4835 -6.2521
Y I N
2 2 4
Direct
0.0000 0.0000 0.0000
0.7500 0.2500 0.5000
0.2500 0.7500 0.5000
0.5000 0.5000 0.0000
0.1196 0.6250 0.9946
0.3750 0.3696 0.4946
0.6304 0.1250 0.0054
0.8750 0.8804 0.5054


Y3I3N GGA-PBE optimized geometry; DOS(E_F) = 6.7 states/eV/cell; space group = R-3; spin magnetization = 0.000 μB per atom
1.0
3.3437 1.9305 11.1937
-3.3437 1.9305 11.1937
0.0000 -3.8610 11.1937
Y I N
6 6 2
Direct
0.0387 0.3936 0.6838
0.3162 0.9613 0.6064
0.3936 0.6838 0.0387
0.6064 0.3162 0.9613
0.6838 0.0387 0.3936
0.9613 0.6064 0.3162
0.1022 0.7747 0.4298
0.2253 0.5702 0.8978
0.4298 0.1022 0.7747
0.5702 0.8978 0.2253
0.7747 0.4298 0.1022
0.8978 0.2253 0.5702
0.3333 0.3333 0.3333
0.6667 0.6667 0.6667


YI3N GGA-PBE optimized geometry; DOS(E_F) = 0.0 states/eV/cell; relative energy among the computed polymorphs = 0.606 eV/f.u.; space group = Pm-3m; spin magnetization = 0.600 μB per atom
1.0
6.0384 0.0000 0.0000
0.0000 6.0384 0.0000
0.0000 0.0000 6.0384
Y I N
1 3 1
Direct
0.0000 0.0000 0.0000
0.0000 0.0000 0.5000
0.0000 0.5000 0.0000
0.5000 0.0000 0.0000
0.5000 0.5000 0.5000


Y2I2N GGA-PBE optimized geometry; DOS(E_F) = 1.6 states/eV/cell; space group = C2/m; spin magnetization = 0.000 μB per atom
1.0
3.2861 -1.8976 0.0000
3.2861 1.8976 0.0000
-2.4638 0.0000 11.5662
Y I N
2 2 1
Direct
0.2078 0.2078 0.1095
0.7922 0.7922 0.8905
0.0555 0.0555 0.7032
0.9445 0.9445 0.2968
0.5000 0.5000 0.0000


Y7I12N GGA-PBE optimized geometry; DOS(E_F) = 14.6 states/eV/cell; space group = R-3; spin magnetization = 0.000 μB per atom
1.0
7.7617 4.4812 3.4194
-7.7617 4.4812 3.4194
0.0000 -8.9624 3.4194
Y I N
7 12 1
Direct
0.0000 0.0000 0.0000
0.2184 0.4049 0.4689
0.4049 0.4689 0.2184
0.4689 0.2184 0.4049
0.5311 0.7816 0.5951
0.5951 0.5311 0.7816
0.7816 0.5951 0.5311
0.0348 0.3505 0.1146
0.1146 0.0348 0.3505
0.1915 0.7260 0.5782
0.2740 0.4218 0.8085
0.3505 0.1146 0.0348
0.4218 0.8085 0.2740
0.5782 0.1915 0.7260
0.6495 0.8854 0.9652
0.7260 0.5782 0.1915
0.8085 0.2740 0.4218
0.8854 0.9652 0.6495
0.9652 0.6495 0.8854
0.5000 0.5000 0.5000


YI2N GGA-PBE optimized geometry; DOS(E_F) = 4.8 states/eV/cell; relative energy among the computed polymorphs = 1.005 eV/f.u.; space group = I-42d; spin magnetization = 0.500 μB per atom
1.0
-2.6322 2.6322 9.4456
2.6322 -2.6322 9.4456
2.6322 2.6322 -9.4456
Y I N
2 4 2
Direct
0.0000 0.0000 0.0000
0.7500 0.2500 0.5000
0.1253 0.6250 0.0003
0.3750 0.3753 0.5003
0.6247 0.1250 0.9997
0.8750 0.8747 0.4997
0.2500 0.7500 0.5000
0.5000 0.5000 0.0000


Y2IN GGA-PBE optimized geometry; DOS(E_F) = 4.5 states/eV/cell; space group = I-42d; spin magnetization = 0.000 μB per atom
1.0
-3.1685 3.1685 5.4470
3.1685 -3.1685 5.4470
3.1685 3.1685 -5.4470
Y I N
4 2 2
Direct
0.0161 0.6250 0.8911
0.3750 0.2661 0.3911
0.7339 0.1250 0.1089
0.8750 0.9839 0.6089
0.2500 0.7500 0.5000
0.5000 0.5000 0.0000
0.0000 0.0000 0.0000
0.7500 0.2500 0.5000


Y3IN GGA-PBE optimized geometry; DOS(E_F) = 8.6 states/eV/cell; relative energy among the computed polymorphs = 0.000 eV/f.u.; space group = Pm-3m; spin magnetization = 0.000 μB per atom
1.0
4.8898 0.0000 0.0000
0.0000 4.8898 0.0000
0.0000 0.0000 4.8898
Y I N
3 1 1
Direct
0.0000 0.0000 0.5000
0.0000 0.5000 0.0000
0.5000 0.0000 0.0000
0.5000 0.5000 0.5000
0.0000 0.0000 0.0000


Y4I5N GGA-PBE optimized geometry; DOS(E_F) = 3.2 states/eV/cell; space group = C2/m; spin magnetization = 0.000 μB per atom
1.0
9.7341 -1.9701 0.0000
9.7341 1.9701 0.0000
-1.8159 0.0000 8.3623
Y I N
4 5 1
Direct
0.9996 0.9996 0.1879
0.0004 0.0004 0.8121
0.3780 0.3780 0.9406
0.6220 0.6220 0.0594
0.1600 0.1600 0.3365
0.1627 0.1627 0.8197
0.5000 0.5000 0.5000
0.8373 0.8373 0.1803
0.8400 0.8400 0.6635
0.5000 0.5000 0.0000


Y2IN GGA-PBE optimized geometry; DOS(E_F) = 3.2 states/eV/cell; space group = Fm-3m; spin magnetization = 0.221 μB per atom
1.0
0.0000 3.4788 3.4788
3.4788 0.0000 3.4788
3.4788 3.4788 0.0000
Y I N
2 1 1
Direct
0.2500 0.2500 0.2500
0.7500 0.7500 0.7500
0.0000 0.0000 0.0000
0.5000 0.5000 0.5000


YI2N GGA-PBE optimized geometry; DOS(E_F) = 4.5 states/eV/cell; relative energy among the computed polymorphs = 0.000 eV/f.u.; space group = Fm-3m; spin magnetization = 0.500 μB per atom
1.0
0.0000 3.7359 3.7359
3.7359 0.0000 3.7359
3.7359 3.7359 0.0000
Y I N
1 2 1
Direct
0.0000 0.0000 0.0000
0.2500 0.2500 0.2500
0.7500 0.7500 0.7500
0.5000 0.5000 0.5000


YIN2 GGA-PBE optimized geometry; DOS(E_F) = 4.1 states/eV/cell; relative energy among the computed polymorphs = 0.000 eV/f.u.; space group = R-3m; spin magnetization = 0.000 μB per atom
1.0
1.8175 1.0494 6.5564
-1.8175 1.0494 6.5564
0.0000 -2.0987 6.5564
Y I N
1 1 2
Direct
0.0000 0.0000 0.0000
0.5000 0.5000 0.5000
0.3923 0.3923 0.3923
0.6077 0.6077 0.6077


YI3N GGA-PBE optimized geometry; DOS(E_F) = 3.2 states/eV/cell; relative energy among the computed polymorphs = 2.763 eV/f.u.; space group = Pm-3m; spin magnetization = 0.000 μB per atom
1.0
5.0822 0.0000 0.0000
0.0000 5.0822 0.0000
0.0000 0.0000 5.0822
Y I N
1 3 1
Direct
0.0000 0.0000 0.0000
0.0000 0.5000 0.5000
0.5000 0.0000 0.5000
0.5000 0.5000 0.0000
0.5000 0.5000 0.5000


no.,E_form (uncorrected) (eV per atom)
1,0.458
2,-1.231
3,0.017
4,-1.383
5,-1.286
6,0.579
7,-0.963
8,-0.545
9,-1.267
10,-0.071
11,0.328
12,-0.005
13,0.448